This record from Alexandria describes crystalline Nd2DySb3Pt4 at its relaxed geometry. The functional is PBE.

The calculation puts the uncorrected formation energy at -944 meV per atom.

The structure belongs to space group P-4m2 (No. 115); the cell edges are 4.5237, 4.5237 and 11.4643 Å and the angles 90.00°, 90.00° and 90.00°. The inequivalent atoms are Nd at (0.0000, 0.5000, 0.2129), Dy at (0.0000, 0.0000, 0.5000), Sb at (0.0000, 0.5000, 0.8693), Sb at (0.5000, 0.5000, 0.5000), Pt at (0.0000, 0.0000, 0.0000), Pt at (0.0000, 0.5000, 0.6432) and Pt at (0.5000, 0.5000, 0.0000).

=====

This record from Alexandria describes crystalline NdDySiPt at its relaxed geometry. The functional is PBE.

The calculation puts the uncorrected formation energy at -981 meV per atom.

The structure belongs to space group Amm2 (No. 38); the cell edges are 4.1858, 4.0799 and 10.9903 Å and the angles 90.00°, 90.00° and 90.00°. The inequivalent atoms are Nd at (0.0000, 0.0000, 0.0000), Dy at (0.5000, 0.0000, 0.7202), Si at (0.5000, 0.0000, 0.4264) and Pt at (0.0000, 0.0000, 0.2780).